VASP calculation (PBE-GGA) on a geometry-optimized Tl3TeC structure.

Lattice parameters (Å, degrees): 6.563 6.563 6.563 90.00 90.00 90.00
Each line ends with the local moment (μB).
Atoms (fractional coordinates):
Tl  0.000  0.500  0.000  0.02
Tl  0.000  0.000  0.500  0.02
Tl  0.500  0.000  0.000  0.03
C  0.500  0.500  0.500  1.10
Te  0.000  0.000  0.000  0.03

**Mass density**: 4.4 g cm⁻³
**SG**: Pm-3m (221)
**Total magnetic moment**: 0.600 μB/atom
**Formation energy (no corrections)**: 1480 meV per atom


VASP calculation (PBE-GGA) on a geometry-optimized K5Ca3Cl12 structure.

Lattice parameters (Å, degrees): 15.096 15.096 15.096 109.47 109.47 109.47
Each line ends with the local moment (μB).
Atoms (fractional coordinates):
Cl  0.243  0.571  0.627  0.07
Cl  0.373  0.929  0.757  0.07
Cl  0.257  0.873  0.929  0.07
Cl  0.943  0.827  0.571  0.07
Cl  0.873  0.257  0.429  0.07
Cl  0.673  0.243  0.616  0.07
Cl  0.384  0.257  0.327  0.07
Cl  0.743  0.616  0.173  0.07
Cl  0.057  0.173  0.429  0.07
Cl  0.429  0.673  0.057  0.07
Cl  0.257  0.384  0.827  0.07
Cl  0.616  0.743  0.673  0.07
Cl  0.443  0.373  0.616  0.07
Cl  0.071  0.627  0.743  0.07
Cl  0.827  0.943  0.071  0.07
Cl  0.373  0.443  0.116  0.07
Cl  0.627  0.071  0.243  0.07
Cl  0.627  0.557  0.884  0.07
Cl  0.429  0.757  0.873  0.07
Cl  0.116  0.943  0.373  0.07
Cl  0.757  0.327  0.884  0.07
Cl  0.071  0.443  0.827  0.07
Cl  0.571  0.243  0.127  0.07
Cl  0.327  0.757  0.384  0.07
Cl  0.873  0.616  0.943  0.07
Cl  0.116  0.173  0.243  0.07
Cl  0.243  0.673  0.116  0.07
Cl  0.929  0.373  0.257  0.07
Cl  0.743  0.127  0.071  0.07
Cl  0.384  0.127  0.557  0.07
Cl  0.929  0.557  0.173  0.07
Cl  0.616  0.873  0.443  0.07
Cl  0.557  0.929  0.673  0.07
Cl  0.557  0.627  0.384  0.07
Cl  0.173  0.057  0.929  0.07
Cl  0.884  0.827  0.757  0.07
Cl  0.327  0.571  0.443  0.07
Cl  0.443  0.071  0.327  0.07
Cl  0.057  0.884  0.127  0.07
Cl  0.943  0.116  0.873  0.07
Cl  0.827  0.884  0.257  0.07
Cl  0.127  0.384  0.057  0.07
Cl  0.571  0.327  0.943  0.07
Cl  0.127  0.743  0.571  0.07
Cl  0.673  0.429  0.557  0.07
Cl  0.173  0.116  0.743  0.07
Cl  0.884  0.057  0.627  0.07
Cl  0.757  0.429  0.373  0.07
Ca  0.250  0.125  0.375  0.00
Ca  0.375  0.750  0.625  0.00
Ca  0.125  0.875  0.750  0.00
Ca  0.625  0.250  0.375  0.00
Ca  0.125  0.250  0.875  0.00
Ca  0.750  0.375  0.125  0.00
Ca  0.875  0.125  0.250  0.00
Ca  0.750  0.875  0.625  0.00
Ca  0.250  0.625  0.875  0.00
Ca  0.375  0.625  0.250  0.00
Ca  0.875  0.750  0.125  0.00
Ca  0.625  0.375  0.750  0.00
K  0.625  0.875  0.250  0.00
K  0.250  0.875  0.125  0.00
K  0.500  0.500  0.500  0.00
K  0.125  0.375  0.250  0.00
K  0.125  0.750  0.375  0.00
K  0.250  0.375  0.625  0.00
K  0.750  0.125  0.875  0.00
K  0.000  0.000  0.500  0.00
K  0.000  0.000  0.000  0.00
K  0.875  0.625  0.750  0.00
K  0.375  0.125  0.750  0.00
K  0.500  0.000  0.000  0.00
K  0.875  0.250  0.625  0.00
K  0.500  0.500  0.000  0.00
K  0.625  0.750  0.875  0.00
K  0.000  0.500  0.500  0.00
K  0.500  0.000  0.500  0.00
K  0.375  0.250  0.125  0.00
K  0.750  0.625  0.375  0.00
K  0.000  0.500  0.000  0.00

**Mass density**: 1.9 g cm⁻³
**SG**: Ia-3d (230)
**Total magnetic moment**: 0.059 μB/atom
**Formation energy (no corrections)**: -1848 meV per atom


VASP calculation (PBE-GGA) on a geometry-optimized LaPuSO2 structure.

Lattice parameters (Å, degrees): 3.883 3.883 6.762 106.69 106.69 90.00
Each line ends with the local moment (μB).
Atoms (fractional coordinates):
La  0.144  0.144  0.289  0.04
O  0.253  0.753  0.506  -0.05
O  0.753  0.253  0.506  -0.05
Pu  0.852  0.852  0.703  4.94
S  0.498  0.498  0.995  -0.04

**Mass density**: 8.0 g cm⁻³
**SG**: I4mm (107)
**Total magnetic moment**: 1.000 μB/atom
**Formation energy (no corrections)**: -2777 meV per atom


VASP calculation (PBE-GGA) on a geometry-optimized SmTm5Sc5 structure.

Lattice parameters (Å, degrees): 5.760 5.760 11.194 90.00 90.00 120.00
Each line ends with the local moment (μB).
Atoms (fractional coordinates):
Tm  0.333  0.667  0.323  0.24
Tm  0.667  0.333  0.838  0.09
Tm  0.333  0.667  0.677  0.24
Tm  0.000  0.000  0.000  -0.01
Tm  0.667  0.333  0.162  0.09
Sc  0.330  0.165  0.500  0.13
Sc  0.000  0.000  0.732  0.29
Sc  0.835  0.670  0.500  0.13
Sc  0.835  0.165  0.500  0.13
Sc  0.000  0.000  0.268  0.29
Sm  0.333  0.667  0.000  0.01

**Mass density**: 6.3 g cm⁻³
**SG**: P-6m2 (187)
**ΔH_f (0 K)**: 246 meV/atom
**Total magnetic moment**: 0.224 μB/atom


VASP calculation (PBE-GGA) on a geometry-optimized Ni2HgRh structure.

Lattice parameters (Å, degrees): 4.726 4.726 4.726 131.97 131.97 70.27
Each line ends with the local moment (μB).
Atoms (fractional coordinates):
Ni  0.000  0.000  0.000  0.55
Ni  0.250  0.750  0.500  0.69
Hg  0.750  0.250  0.500  -0.01
Rh  0.500  0.500  0.000  0.51

**Mass density**: 12.2 g cm⁻³
**SG**: I-4m2 (119)
**ΔH_f (0 K)**: 225 meV/atom
**Total magnetic moment**: 0.418 μB/atom


VASP calculation (PBE-GGA) on a geometry-optimized PmY2Zr structure.

Lattice parameters (Å, degrees): 4.935 4.907 4.907 90.00 90.00 90.00
Atoms (fractional coordinates):
Y  0.000  0.500  0.000
Y  0.000  0.000  0.500
Zr  0.500  0.000  0.000
Pm  0.500  0.500  0.500

**Mass density**: 5.8 g cm⁻³
**SG**: P4/mmm (123)
**ΔH_f (0 K)**: 114 meV/atom
**Total magnetic moment**: 0.000 μB/atom


VASP calculation (PBE-GGA) on a geometry-optimized Gd2TcF structure.

Lattice parameters (Å, degrees): 3.157 3.157 9.361 80.29 80.29 60.00
Each line ends with the local moment (μB).
Atoms (fractional coordinates):
Gd  0.096  0.096  0.712  -7.08
Gd  0.904  0.904  0.288  -7.08
Tc  0.000  0.000  0.000  0.99
F  0.500  0.500  0.500  -0.01

**Mass density**: 9.0 g cm⁻³
**SG**: R-3m (166)
**Total magnetic moment**: 3.341 μB/atom
**Formation energy (no corrections)**: -565 meV per atom


VASP calculation (PBE-GGA) on a geometry-optimized Nd2Dy2YHo4 structure.

Lattice parameters (Å, degrees): 3.601 9.515 9.569 115.24 90.00 100.91
Atoms (fractional coordinates):
Dy  0.853  0.706  0.337
Dy  0.147  0.294  0.663
Nd  0.666  0.332  0.999
Nd  0.334  0.668  0.001
Ho  0.186  0.371  0.336
Ho  0.814  0.629  0.664
Ho  0.519  0.039  0.336
Ho  0.481  0.961  0.664
Y  0.000  0.000  0.000

**Mass density**: 7.8 g cm⁻³
**SG**: C2/m (12)
**ΔH_f (0 K)**: -2 meV/atom
**Total magnetic moment**: 0.000 μB/atom